# 1
Entry from Alexandria: an optimized crystal structure of DyTi4Co5 (PBE-GGA).

Summary:
Density (g/cm³): 7.6
Energy relative to the elements (meV per atom): -342
Calculated volume (A^3/atom): 14.12
DFT total energy (eV per formula unit): -75.13

CIF file:
```
data_DyTi4Co5
_cell_length_a 3.010
_cell_length_b 3.010
_cell_length_c 15.586
_cell_angle_alpha 90.00
_cell_angle_beta 90.00
_cell_angle_gamma 90.00
_symmetry_space_group_name_H-M 'P 4/m m m'
_symmetry_Int_Tables_number 123
_symmetry_space_group_name_Hall '-P 4 2'
loop_
_atom_site_label
_atom_site_fract_x
_atom_site_fract_y
_atom_site_fract_z
_atom_site_occupancy
Dy1 0.000 0.000 0.000 1
Ti1 0.000 0.000 0.215 1
Ti2 0.000 0.000 0.406 1
Co1 0.500 0.500 0.135 1
Co2 0.500 0.500 0.316 1
Co3 0.500 0.500 0.500 1
```

# 2
Entry from Alexandria: an optimized crystal structure of DyTiCo2 (PBE-GGA).

Summary:
Density (g/cm³): 8.6
ΔE to the lowest computed polymorph (meV per atom): 111
Energy relative to the elements (meV per atom): -128
Calculated volume (A^3/atom): 15.84
DFT total energy (eV per formula unit): -27.22

CIF file:
```
data_DyTiCo2
_cell_length_a 4.503
_cell_length_b 4.503
_cell_length_c 3.124
_cell_angle_alpha 90.00
_cell_angle_beta 90.00
_cell_angle_gamma 90.00
_symmetry_space_group_name_H-M 'P 4/m m m'
_symmetry_Int_Tables_number 123
_symmetry_space_group_name_Hall '-P 4 2'
loop_
_atom_site_label
_atom_site_fract_x
_atom_site_fract_y
_atom_site_fract_z
_atom_site_occupancy
Dy1 0.000 0.000 0.000 1
Ti1 0.500 0.500 0.000 1
Co1 0.000 0.500 0.500 1
```

# 3
Entry from Alexandria: an optimized crystal structure of DyTiCo2 (PBE-GGA).

Summary:
Density (g/cm³): 8.7
ΔE to the lowest computed polymorph (meV per atom): 0
Energy relative to the elements (meV per atom): -239
Calculated volume (A^3/atom): 15.69
DFT total energy (eV per formula unit): -27.66

CIF file:
```
data_DyTiCo2
_cell_length_a 3.087
_cell_length_b 3.087
_cell_length_c 6.586
_cell_angle_alpha 90.00
_cell_angle_beta 90.00
_cell_angle_gamma 90.00
_symmetry_space_group_name_H-M 'P 4/m m m'
_symmetry_Int_Tables_number 123
_symmetry_space_group_name_Hall '-P 4 2'
loop_
_atom_site_label
_atom_site_fract_x
_atom_site_fract_y
_atom_site_fract_z
_atom_site_occupancy
Dy1 0.000 0.000 0.000 1
Ti1 0.000 0.000 0.500 1
Co1 0.500 0.500 0.294 1
```

# 4
Entry from Alexandria: an optimized crystal structure of DyTiCo2 (PBE-GGA).

Summary:
Density (g/cm³): 8.6
ΔE to the lowest computed polymorph (meV per atom): 107
Energy relative to the elements (meV per atom): -132
Calculated volume (A^3/atom): 15.90
DFT total energy (eV per formula unit): -27.24

CIF file:
```
data_DyTiCo2
_cell_length_a 6.337
_cell_length_b 6.337
_cell_length_c 6.337
_cell_angle_alpha 90.00
_cell_angle_beta 90.00
_cell_angle_gamma 90.00
_symmetry_space_group_name_H-M 'F m -3 m'
_symmetry_Int_Tables_number 225
_symmetry_space_group_name_Hall '-F 4 2 3'
loop_
_atom_site_label
_atom_site_fract_x
_atom_site_fract_y
_atom_site_fract_z
_atom_site_occupancy
Dy1 0.000 0.000 0.000 1
Ti1 0.000 0.000 0.500 1
Co1 0.250 0.250 0.250 1
```

# 5
Entry from Alexandria: an optimized crystal structure of DyTiCo (PBE-GGA).

Summary:
Density (g/cm³): 7.9
ΔE to the lowest computed polymorph (meV per atom): 0
Energy relative to the elements (meV per atom): -250
Calculated volume (A^3/atom): 18.94
DFT total energy (eV per formula unit): -20.35

CIF file:
```
data_DyTiCo
_cell_length_a 4.265
_cell_length_b 4.265
_cell_length_c 6.247
_cell_angle_alpha 90.00
_cell_angle_beta 90.00
_cell_angle_gamma 90.00
_symmetry_space_group_name_H-M 'P 4/n m m'
_symmetry_Int_Tables_number 129
loop_
_symmetry_equiv_pos_as_xyz
'x,y,z'
'-x,-y,-z'
'-y+1/2,x,z'
'y+1/2,-x,-z'
'-x+1/2,-y+1/2,z'
'x+1/2,y+1/2,-z'
'y,-x+1/2,z'
'-y,x+1/2,-z'
'x+1/2,-y,-z'
'-x+1/2,y,z'
'-y,-x,-z'
'y,x,z'
'-x,y+1/2,-z'
'x,-y+1/2,z'
'y+1/2,x+1/2,-z'
'-y+1/2,-x+1/2,z'
loop_
_atom_site_label
_atom_site_fract_x
_atom_site_fract_y
_atom_site_fract_z
_atom_site_occupancy
Dy1 0.250 0.250 0.134 1
Ti1 0.250 0.750 0.500 1
Co1 0.250 0.250 0.693 1
```

# 6
Entry from Alexandria: an optimized crystal structure of DyTi2Co2 (PBE-GGA).

Summary:
Density (g/cm³): 7.4
Energy relative to the elements (meV per atom): -310
Calculated volume (A^3/atom): 16.92
DFT total energy (eV per formula unit): -36.15

CIF file:
```
data_DyTi2Co2
_cell_length_a 4.132
_cell_length_b 4.132
_cell_length_c 9.912
_cell_angle_alpha 90.00
_cell_angle_beta 90.00
_cell_angle_gamma 90.00
_symmetry_space_group_name_H-M 'I 4/m m m'
_symmetry_Int_Tables_number 139
_symmetry_space_group_name_Hall '-I 4 2'
loop_
_atom_site_label
_atom_site_fract_x
_atom_site_fract_y
_atom_site_fract_z
_atom_site_occupancy
Dy1 0.000 0.000 0.000 1
Ti1 0.000 0.500 0.250 1
Co1 0.000 0.000 0.384 1
```

# 7
Entry from Alexandria: an optimized crystal structure of Dy2TiCo2 (PBE-GGA).

Summary:
Density (g/cm³): 8.6
Energy relative to the elements (meV per atom): -240
Calculated volume (A^3/atom): 18.93
DFT total energy (eV per formula unit): -32.51

CIF file:
```
data_Dy2TiCo2
_cell_length_a 3.785
_cell_length_b 5.543
_cell_length_c 9.024
_cell_angle_alpha 90.00
_cell_angle_beta 90.00
_cell_angle_gamma 90.00
_symmetry_space_group_name_H-M 'I m m m'
_symmetry_Int_Tables_number 71
_symmetry_space_group_name_Hall '-I 2 2'
loop_
_atom_site_label
_atom_site_fract_x
_atom_site_fract_y
_atom_site_fract_z
_atom_site_occupancy
Dy1 0.000 0.000 0.200 1
Ti1 0.000 0.500 0.000 1
Co1 0.000 0.275 0.500 1
```

# 8
Entry from Alexandria: an optimized crystal structure of Dy3TlCo (PBE-GGA).

Summary:
Density (g/cm³): 9.5
ΔE to the lowest computed polymorph (meV per atom): 0
Energy relative to the elements (meV per atom): -211
Calculated volume (A^3/atom): 26.38
DFT total energy (eV per formula unit): -24.33

CIF file:
```
data_Dy3TlCo
_cell_length_a 11.907
_cell_length_b 5.361
_cell_length_c 8.982
_cell_angle_alpha 90.00
_cell_angle_beta 113.04
_cell_angle_gamma 90.00
_symmetry_space_group_name_H-M 'C 1 2/m 1'
_symmetry_Int_Tables_number 12
_symmetry_space_group_name_Hall '-C 2y'
loop_
_atom_site_label
_atom_site_fract_x
_atom_site_fract_y
_atom_site_fract_z
_atom_site_occupancy
Dy1 0.105 0.000 0.214 1
Dy2 0.120 0.500 0.913 1
Dy3 0.156 0.000 0.662 1
Tl1 0.111 0.500 0.448 1
Co1 0.137 0.000 0.941 1
```

density of number 4 (DyTiCo2)? 8.6 g/cm³

Look up the DFT total energy of the first one. -75.13 eV per formula unit